# Ba2LiRhF | Alexandria via LeMat-Bulk | PBE | relaxed
# N(E_F) (states/eV/f.u.): 2.54
# ΔE_f (raw) (eV per atom): -1.071
data_Ba2LiRhF
_space_group_name_H-M_alt 'P 1'
_space_group_IT_number 1
_cell_length_a 5.4755
_cell_length_b 5.4755
_cell_length_c 4.1388
_cell_angle_alpha 90.00
_cell_angle_beta 90.00
_cell_angle_gamma 90.00
loop_
_space_group_symop_operation_xyz
'x,y,z'
loop_
_atom_site_label
_atom_site_type_symbol
_atom_site_fract_x
_atom_site_fract_y
_atom_site_fract_z
_atom_site_occupancy
Ba1 Ba 0.0000 0.5000 0.0000 1
Ba2 Ba 0.5000 0.0000 0.0000 1
Li1 Li 0.0000 0.0000 0.5000 1
Rh1 Rh 0.5000 0.5000 0.5000 1
F1 F 0.0000 0.0000 0.0000 1